[1]
# Tb3PrTc (PBE, optimized geometry)
# E above lowest polymorph: 0.000 eV per atom
# SG: P2_1/m
# Formation energy from the elements: -0.043 eV per atom
data_Tb3PrTc
_cell_length_a 3.837
_cell_length_b 8.742
_cell_length_c 8.795
_cell_angle_alpha 101.74
_cell_angle_beta 90.00
_cell_angle_gamma 90.00
_symmetry_space_group_name_H-M 'P 1'
_symmetry_Int_Tables_number 1
loop_
_symmetry_equiv_pos_as_xyz
'x,y,z'
loop_
_atom_site_label
_atom_site_type_symbol
_atom_site_fract_x
_atom_site_fract_y
_atom_site_fract_z
Tb1 Tb 0.750 0.840 0.892
Tb2 Tb 0.250 0.472 0.837
Pr1 Pr 0.750 0.330 0.488
Tc1 Tc 0.250 0.763 0.100
Tb3 Tb 0.750 0.923 0.315
Tb4 Tb 0.250 0.077 0.685
Pr2 Pr 0.250 0.670 0.512
Tb5 Tb 0.250 0.160 0.108
Tb6 Tb 0.750 0.528 0.163
Tc2 Tc 0.750 0.237 0.900

---

[2]
# PmEr2PbC (PBE, optimized geometry)
# SG: P4/mmm
# Formation energy from the elements: -0.510 eV per atom
data_PmEr2PbC
_cell_length_a 5.089
_cell_length_b 4.876
_cell_length_c 4.876
_cell_angle_alpha 90.00
_cell_angle_beta 90.00
_cell_angle_gamma 90.00
_symmetry_space_group_name_H-M 'P 1'
_symmetry_Int_Tables_number 1
loop_
_symmetry_equiv_pos_as_xyz
'x,y,z'
loop_
_atom_site_label
_atom_site_type_symbol
_atom_site_fract_x
_atom_site_fract_y
_atom_site_fract_z
Pm1 Pm 0.500 0.000 0.000
Pb1 Pb 0.500 0.500 0.500
Er1 Er 0.000 0.500 0.000
Er2 Er 0.000 0.000 0.500
C1 C 0.000 0.000 0.000

---

[3]
# ZnHgPb2Au6 (PBE, optimized geometry)
# SG: P-1
# Formation energy from the elements: -0.039 eV per atom
data_ZnHgPb2Au6
_cell_length_a 7.035
_cell_length_b 7.401
_cell_length_c 8.866
_cell_angle_alpha 49.79
_cell_angle_beta 53.69
_cell_angle_gamma 91.10
_symmetry_space_group_name_H-M 'P 1'
_symmetry_Int_Tables_number 1
loop_
_symmetry_equiv_pos_as_xyz
'x,y,z'
loop_
_atom_site_label
_atom_site_type_symbol
_atom_site_fract_x
_atom_site_fract_y
_atom_site_fract_z
Pb1 Pb 0.246 0.750 0.390
Au1 Au 0.936 0.060 0.353
Pb2 Pb 0.754 0.250 0.610
Au2 Au 0.262 0.749 0.890
Au3 Au 0.551 0.453 0.326
Au4 Au 0.064 0.940 0.647
Hg1 Hg 0.000 0.000 0.000
Au5 Au 0.738 0.251 0.110
Au6 Au 0.449 0.547 0.674
Zn1 Zn 0.500 0.500 0.000

---

[4]
# Ba2Cd3Sn4Pd (PBE, optimized geometry)
# SG: P-4m2
# Formation energy from the elements: -0.451 eV per atom
data_Ba2Cd3Sn4Pd
_cell_length_a 4.919
_cell_length_b 4.919
_cell_length_c 11.889
_cell_angle_alpha 90.00
_cell_angle_beta 90.00
_cell_angle_gamma 90.00
_symmetry_space_group_name_H-M 'P 1'
_symmetry_Int_Tables_number 1
loop_
_symmetry_equiv_pos_as_xyz
'x,y,z'
loop_
_atom_site_label
_atom_site_type_symbol
_atom_site_fract_x
_atom_site_fract_y
_atom_site_fract_z
Cd1 Cd 0.500 0.000 0.858
Sn1 Sn 0.000 0.000 0.000
Cd2 Cd 0.000 0.000 0.500
Pd1 Pd 0.500 0.500 0.500
Sn2 Sn 0.500 0.500 0.000
Sn3 Sn 0.000 0.500 0.382
Cd3 Cd 0.000 0.500 0.142
Ba1 Ba 0.000 0.500 0.739
Sn4 Sn 0.500 0.000 0.618
Ba2 Ba 0.500 0.000 0.261

---

[5]
# BaLu2Os (PBE, optimized geometry)
# SG: P4/mmm
# Formation energy from the elements: -0.126 eV per atom
data_BaLu2Os
_cell_length_a 3.429
_cell_length_b 3.429
_cell_length_c 9.911
_cell_angle_alpha 90.00
_cell_angle_beta 90.00
_cell_angle_gamma 90.00
_symmetry_space_group_name_H-M 'P 1'
_symmetry_Int_Tables_number 1
loop_
_symmetry_equiv_pos_as_xyz
'x,y,z'
loop_
_atom_site_label
_atom_site_type_symbol
_atom_site_fract_x
_atom_site_fract_y
_atom_site_fract_z
Lu1 Lu 0.000 0.000 0.841
Lu2 Lu 0.000 0.000 0.159
Ba1 Ba 0.500 0.500 0.500
Os1 Os 0.500 0.500 0.000

---

[6]
# Mn2SbPd2 (PBE, optimized geometry)
# SG: P4/mbm
# ΔE_f (raw): -124 meV/atom
data_Mn2SbPd2
_cell_length_a 7.361
_cell_length_b 7.361
_cell_length_c 3.179
_cell_angle_alpha 90.00
_cell_angle_beta 90.00
_cell_angle_gamma 90.00
_symmetry_space_group_name_H-M 'P 1'
_symmetry_Int_Tables_number 1
loop_
_symmetry_equiv_pos_as_xyz
'x,y,z'
loop_
_atom_site_label
_atom_site_type_symbol
_atom_site_fract_x
_atom_site_fract_y
_atom_site_fract_z
Mn1 Mn 0.842 0.342 0.500
Pd1 Pd 0.136 0.364 0.000
Mn2 Mn 0.158 0.658 0.500
Pd2 Pd 0.636 0.136 0.000
Mn3 Mn 0.658 0.842 0.500
Sb1 Sb 0.000 0.000 0.000
Mn4 Mn 0.342 0.158 0.500
Pd3 Pd 0.864 0.636 0.000
Sb2 Sb 0.500 0.500 0.000
Pd4 Pd 0.364 0.864 0.000

---

[7]
# MnAsP2Ru (PBE, optimized geometry)
# SG: P4/mmm
# Formation energy from the elements: 1.656 eV per atom
data_MnAsP2Ru
_cell_length_a 4.653
_cell_length_b 4.505
_cell_length_c 4.653
_cell_angle_alpha 90.00
_cell_angle_beta 90.00
_cell_angle_gamma 90.00
_symmetry_space_group_name_H-M 'P 1'
_symmetry_Int_Tables_number 1
loop_
_symmetry_equiv_pos_as_xyz
'x,y,z'
loop_
_atom_site_label
_atom_site_type_symbol
_atom_site_fract_x
_atom_site_fract_y
_atom_site_fract_z
P1 P 0.500 0.000 0.000
Mn1 Mn 0.500 0.500 0.500
As1 As 0.000 0.000 0.000
Ru1 Ru 0.000 0.500 0.000
P2 P 0.000 0.000 0.500

---

[8]
# Tl2CoAuCl6 (PBE, optimized geometry)
# SG: C2/m
# ΔE_f (raw): -597 meV/atom
data_Tl2CoAuCl6
_cell_length_a 7.011
_cell_length_b 7.011
_cell_length_c 7.013
_cell_angle_alpha 60.13
_cell_angle_beta 60.13
_cell_angle_gamma 90.21
_symmetry_space_group_name_H-M 'P 1'
_symmetry_Int_Tables_number 1
loop_
_symmetry_equiv_pos_as_xyz
'x,y,z'
loop_
_atom_site_label
_atom_site_type_symbol
_atom_site_fract_x
_atom_site_fract_y
_atom_site_fract_z
Cl1 Cl 0.234 0.768 0.000
Cl2 Cl 0.767 0.767 0.467
Co1 Co 0.000 0.000 0.000
Tl1 Tl 0.750 0.250 0.500
Cl3 Cl 0.766 0.232 0.000
Au1 Au 0.500 0.500 0.000
Cl4 Cl 0.234 0.236 0.000
Cl5 Cl 0.766 0.764 0.000
Cl6 Cl 0.233 0.233 0.533
Tl2 Tl 0.250 0.750 0.500

---

[9]
# Co3Ni7Ir (PBE, optimized geometry)
# E above lowest polymorph: 0.025 eV per atom
# SG: P3m1
# Formation energy from the elements: 0.148 eV per atom
data_Co3Ni7Ir
_cell_length_a 6.099
_cell_length_b 5.000
_cell_length_c 5.000
_cell_angle_alpha 120.00
_cell_angle_beta 90.00
_cell_angle_gamma 90.00
_symmetry_space_group_name_H-M 'P 1'
_symmetry_Int_Tables_number 1
loop_
_symmetry_equiv_pos_as_xyz
'x,y,z'
loop_
_atom_site_label
_atom_site_type_symbol
_atom_site_fract_x
_atom_site_fract_y
_atom_site_fract_z
Ni1 Ni 0.105 0.163 0.837
Co1 Co 0.787 0.503 0.007
Ni2 Ni 0.117 0.667 0.333
Ni3 Ni 0.457 0.330 0.165
Ni4 Ni 0.105 0.163 0.327
Ir1 Ir 0.449 0.333 0.667
Ni5 Ni 0.457 0.835 0.165
Ni6 Ni 0.457 0.835 0.670
Co2 Co 0.787 0.503 0.497
Ni7 Ni 0.105 0.673 0.837
Co3 Co 0.787 0.993 0.497

---

[10]
# CeAgTe2 (PBE, optimized geometry)
# SG: P2_1/c
# ΔE_f (raw): -884 meV/atom
data_CeAgTe2
_cell_length_a 7.339
_cell_length_b 7.936
_cell_length_c 8.164
_cell_angle_alpha 90.00
_cell_angle_beta 90.00
_cell_angle_gamma 96.23
_symmetry_space_group_name_H-M 'P 1'
_symmetry_Int_Tables_number 1
loop_
_symmetry_equiv_pos_as_xyz
'x,y,z'
loop_
_atom_site_label
_atom_site_type_symbol
_atom_site_fract_x
_atom_site_fract_y
_atom_site_fract_z
Ag1 Ag 0.431 0.964 0.666
Ce1 Ce 0.801 0.201 0.959
Ce2 Ce 0.199 0.299 0.459
Te1 Te 0.384 0.708 0.398
Te2 Te 0.616 0.292 0.602
Ag2 Ag 0.569 0.036 0.334
Te3 Te 0.936 0.999 0.275
Te4 Te 0.616 0.792 0.898
Te5 Te 0.384 0.208 0.102
Ce3 Ce 0.801 0.701 0.541
Te6 Te 0.936 0.499 0.225
Te7 Te 0.064 0.501 0.775
Te8 Te 0.064 0.001 0.725
Ag3 Ag 0.569 0.536 0.166
Ce4 Ce 0.199 0.799 0.041
Ag4 Ag 0.431 0.464 0.834

---

[11]
# CuTc (PBE, optimized geometry)
# E above lowest polymorph: 0.210 eV per atom
# SG: Fd-3m
# Formation energy from the elements: 0.304 eV per atom
data_CuTc
_cell_length_a 4.247
_cell_length_b 4.247
_cell_length_c 4.247
_cell_angle_alpha 60.00
_cell_angle_beta 60.00
_cell_angle_gamma 60.00
_symmetry_space_group_name_H-M 'P 1'
_symmetry_Int_Tables_number 1
loop_
_symmetry_equiv_pos_as_xyz
'x,y,z'
loop_
_atom_site_label
_atom_site_type_symbol
_atom_site_fract_x
_atom_site_fract_y
_atom_site_fract_z
Tc1 Tc 0.500 0.500 0.500
Cu1 Cu 0.000 0.000 0.000
Cu2 Cu 0.250 0.250 0.250
Tc2 Tc 0.750 0.750 0.750